The following is a SCAN calculation of a PBEsol-optimized structure of Zr2CdPt, from the Alexandria database.

Unit cell a=2.9094 b=5.2597 c=5.3355 alpha=111.81 beta=90.00 gamma=90.00
Fractional positions:
Pt 0.0000 0.5000 0.5000
Zr 0.5000 0.5000 0.0000
Cd 0.5000 0.0000 0.5000
Zr 0.0000 0.0000 0.0000

Output
Symmetry = No. 10
Uncorrected energy = -40.77 eV/atom
Fermi-level density of states = 0.95 states/eV per atom
Formation energy from the elements = -0.272 eV/atom


The following is a SCAN calculation of a PBEsol-optimized structure of Zr4CdPt, from the Alexandria database.

Unit cell a=5.5379 b=5.5379 c=5.5379 alpha=60.00 beta=60.00 gamma=60.00
Fractional positions:
Zr 0.8764 0.3745 0.3745
Pt 0.0000 0.0000 0.0000
Zr 0.3745 0.3745 0.3745
Zr 0.3745 0.3745 0.8764
Cd 0.7500 0.7500 0.7500
Zr 0.3745 0.8764 0.3745

Output
Symmetry = No. 216
Uncorrected energy = -37.10 eV/atom
Fermi-level density of states = 0.86 states/eV per atom
Formation energy from the elements = 0.130 eV/atom


The following is a SCAN calculation of a PBEsol-optimized structure of ZrCdPt2, from the Alexandria database.

Unit cell a=2.8982 b=2.8982 c=9.6418 alpha=81.36 beta=81.36 gamma=60.00
Fractional positions:
Cd 0.2549 0.2549 0.2354
Zr 0.4953 0.4953 0.5140
Pt 0.7486 0.7486 0.7543
Pt 0.0012 0.0012 0.9963

Output
Symmetry = No. 160
Uncorrected energy = -50.62 eV/atom
Fermi-level density of states = 0.72 states/eV per atom
Formation energy from the elements = -0.241 eV/atom


The following is a SCAN calculation of a PBEsol-optimized structure of Rb3Cd, from the Alexandria database.

Unit cell a=6.8002 b=6.8002 c=6.8002 alpha=60.00 beta=60.00 gamma=60.00
Fractional positions:
Rb 0.7500 0.7500 0.7500
Cd 0.0000 0.0000 0.0000
Rb 0.5000 0.5000 0.5000
Rb 0.2500 0.2500 0.2500

Output
Symmetry = No. 225
Uncorrected energy = -23.10 eV/atom
Fermi-level density of states = 0.62 states/eV per atom
Formation energy from the elements = 0.062 eV/atom
E above lowest polymorph = 0.000 eV per atom


The following is a SCAN calculation of a PBEsol-optimized structure of Rb3Cd, from the Alexandria database.

Unit cell a=6.2855 b=6.2855 c=7.1937 alpha=115.90 beta=115.90 gamma=90.00
Fractional positions:
Rb 0.5000 0.5000 0.0000
Rb 0.7500 0.2500 0.5000
Rb 0.2500 0.7500 0.5000
Cd 0.0000 0.0000 0.0000

Output
Symmetry = No. 139
Uncorrected energy = -23.09 eV/atom
Fermi-level density of states = 0.68 states/eV per atom
Formation energy from the elements = 0.064 eV/atom
E above lowest polymorph = 0.002 eV per atom


The following is a SCAN calculation of a PBEsol-optimized structure of Rb3Cd, from the Alexandria database.

Unit cell a=6.0766 b=6.0766 c=6.0766 alpha=90.00 beta=90.00 gamma=90.00
Fractional positions:
Rb 0.0000 0.5000 0.5000
Cd 0.0000 0.0000 0.0000
Rb 0.5000 0.0000 0.5000
Rb 0.5000 0.5000 0.0000

Output
Symmetry = No. 221
Uncorrected energy = -23.09 eV/atom
Fermi-level density of states = 0.68 states/eV per atom
Formation energy from the elements = 0.065 eV/atom
E above lowest polymorph = 0.003 eV per atom


The following is a SCAN calculation of a PBEsol-optimized structure of RbCd13, from the Alexandria database.

Unit cell a=9.6882 b=9.6882 c=9.6882 alpha=60.00 beta=60.00 gamma=60.00
Fractional positions:
Cd 0.0595 0.6990 0.9405
Cd 0.9405 0.6990 0.3010
Cd 0.3010 0.9405 0.6990
Cd 0.0595 0.3010 0.6990
Cd 0.9405 0.3010 0.0595
Cd 0.8010 0.5595 0.1990
Cd 0.1990 0.5595 0.4405
Cd 0.0595 0.9405 0.3010
Cd 0.4405 0.1990 0.5595
Cd 0.3010 0.6990 0.0595
Cd 0.8010 0.1990 0.4405
Cd 0.5595 0.8010 0.4405
Cd 0.0000 0.0000 0.0000
Cd 0.8010 0.4405 0.5595
Cd 0.4405 0.8010 0.1990
Cd 0.5000 0.5000 0.5000
Rb 0.2500 0.2500 0.2500
Cd 0.6990 0.9405 0.0595
Cd 0.9405 0.0595 0.6990
Cd 0.3010 0.0595 0.9405
Cd 0.6990 0.3010 0.9405
Rb 0.7500 0.7500 0.7500
Cd 0.5595 0.1990 0.8010
Cd 0.6990 0.0595 0.3010
Cd 0.5595 0.4405 0.1990
Cd 0.1990 0.8010 0.5595
Cd 0.1990 0.4405 0.8010
Cd 0.4405 0.5595 0.8010

Output
Symmetry = No. 226
Uncorrected energy = -29.82 eV/atom
Fermi-level density of states = 0.18 states/eV per atom
Formation energy from the elements = -0.100 eV/atom


The following is a SCAN calculation of a PBEsol-optimized structure of RbCdRe2Tc, from the Alexandria database.

Unit cell a=4.5851 b=4.6901 c=4.6901 alpha=90.00 beta=90.00 gamma=90.00
Last column: magnetic moment on the atom in μB.
Fractional positions:
Tc 0.5000 0.0000 0.0000  1.40
Re 0.0000 0.5000 0.0000  0.71
Cd 0.5000 0.5000 0.5000  -0.04
Rb 0.0000 0.0000 0.0000  0.05
Re 0.0000 0.0000 0.5000  0.71

Output
Symmetry = No. 123
Uncorrected energy = -41.80 eV/atom
Fermi-level density of states = 0.98 states/eV per atom
Formation energy from the elements = 3.877 eV/atom


> Which value of Fermi-level density of states does entry 2 give?

0.86 states/eV per atom


> Which formula does entry 5 have?

Rb3Cd


> The lowest Fermi-level density of states belongs to which entry?

RbCd13


> Which value of formation energy from the elements does entry 1 give?

-0.272 eV/atom